[1]
VASP calculation (PBE-GGA) on a relaxed SiBMo2 crystal.

Values from the calculation:
excess energy over the best structure of this formula in the dataset = 1.165 eV per atom
ΔE_f (raw) = 0.889 eV per atom
crystal system = tetragonal
symmetry = No. 122

Unit cell a=6.5982 b=6.5982 c=6.5982 alpha=135.77 beta=135.77 gamma=64.34
With the nearest neighbours (Å) after each atom.
Positions (direct):
Si  0.0000  0.0000  0.0000  4 Mo 2.46
Si  0.7500  0.2500  0.5000  4 Mo 2.46
B  0.2500  0.7500  0.5000  4 Mo 2.07
B  0.5000  0.5000  0.0000  4 Mo 2.07
Mo  0.1966  0.6250  0.0716  2 B 2.07
Mo  0.3750  0.4466  0.5716  2 B 2.07
Mo  0.5534  0.1250  0.9284  2 B 2.07
Mo  0.8750  0.8034  0.4284  2 B 2.07

[2]
VASP calculation (PBE-GGA) on a relaxed IrRu3Rh2 crystal.

Values from the calculation:
excess energy over the best structure of this formula in the dataset = 0.302 eV per atom
crystal system = orthorhombic
energy of formation from the pure elements = 2.0 eV/f.u.
symmetry = No. 65

Unit cell a=7.6209 b=7.6209 c=2.7128 alpha=90.00 beta=90.00 gamma=145.87
With the nearest neighbours (Å) after each atom.
Positions (direct):
Ir  0.0000  0.0000  0.0000  8 Ru 2.58-2.62, 2 Ir 2.71
Ru  0.1505  0.8495  0.5000  2 Ir 2.58, 6 Rh 2.68-2.70, 2 Ru 2.71
Ru  0.5000  0.5000  0.5000  4 Ir 2.62, 2 Ru 2.71
Ru  0.8495  0.1505  0.5000  2 Ir 2.58, 6 Rh 2.68-2.70, 2 Ru 2.71
Rh  0.3108  0.6892  0.0000  6 Ru 2.68-2.70, 4 Rh 2.71-2.85
Rh  0.6892  0.3108  0.0000  6 Ru 2.68-2.70, 4 Rh 2.71-2.85

[3]
VASP calculation (PBE-GGA) on a relaxed Ti4CO2 crystal.

Values from the calculation:
excess energy over the best structure of this formula in the dataset = 0.574 eV per atom
ΔE_f (raw) = -1.097 eV per atom
crystal system = tetragonal
symmetry = No. 139

Unit cell a=6.0014 b=6.0014 c=6.0014 alpha=139.97 beta=139.97 gamma=57.90
With the nearest neighbours (Å) after each atom.
Positions (direct):
Ti  0.0000  0.5000  0.5000  2 C 2.05
Ti  0.2227  0.2227  0.0000  1 O 1.84
Ti  0.5000  0.0000  0.5000  2 C 2.05
Ti  0.7773  0.7773  0.0000  1 O 1.84
C  0.0000  0.0000  0.0000  4 Ti 2.05
O  0.3975  0.3975  0.0000  1 Ti 1.84
O  0.6025  0.6025  0.0000  1 Ti 1.84

[4]
VASP calculation (PBE-GGA) on a relaxed Cd2GaP crystal.

Values from the calculation:
excess energy over the best structure of this formula in the dataset = 0.000 eV per atom
crystal system = tetragonal
energy of formation from the pure elements = 0.7 eV/f.u.
symmetry = No. 122

Unit cell a=6.3568 b=6.3568 c=6.3568 alpha=100.22 beta=100.22 gamma=130.17
With the nearest neighbours (Å) after each atom.
Positions (direct):
Cd  0.0691  0.1250  0.4441  2 P 2.67, 2 Cd 2.83
Cd  0.3750  0.9309  0.0559  2 P 2.67, 2 Cd 2.83
Cd  0.6809  0.6250  0.5559  2 P 2.67, 2 Cd 2.83
Cd  0.8750  0.3191  0.9441  2 P 2.67, 2 Cd 2.83
Ga  0.2500  0.7500  0.5000  2 P 2.68
Ga  0.5000  0.5000  0.0000  2 P 2.68
P  0.0000  0.0000  0.0000  4 Cd 2.67, 2 Ga 2.68
P  0.7500  0.2500  0.5000  4 Cd 2.67, 2 Ga 2.68

Question: Look up the excess energy over the best structure of this formula in the dataset of the fourth one.
Answer: 0.000 eV per atom

Question: Number 2 is which compound?
Answer: IrRu3Rh2

Question: Which value of excess energy over the best structure of this formula in the dataset does entry 4 give?
Answer: 0.000 eV per atom

Question: Which value of excess energy over the best structure of this formula in the dataset does entry 2 give?
Answer: 0.302 eV per atom